Compound: CoNi2MoO6
Source: Alexandria via LeMat-Bulk
Functional: PBE with a Hubbard U
Structure: relaxed Values from VASP.

Cell and atoms, written as Quantum ESPRESSO input:
```
&SYSTEM
  ibrav = 0, nat = 10, ntyp = 4
/
ATOMIC_SPECIES
Ni 58.69 Ni.upf
O 16.00 O.upf
Mo 95.94 Mo.upf
Co 58.93 Co.upf
CELL_PARAMETERS angstrom
-4.196 -1.647 -1.769
-0.553 -3.205 4.295
-2.632 3.924 2.589
ATOMIC_POSITIONS angstrom
Ni -5.018 0.509 -0.267
O -1.028 -0.403 -0.433
O -3.945 -1.061 0.370
O -5.276 0.923 1.679
Mo -2.526 -0.991 -1.065
O -5.555 -0.698 3.851
Co -4.057 -0.608 2.403
O -4.224 -2.683 2.542
O -2.591 -0.033 3.021
Ni -3.979 -3.055 0.586
```

- Uncorrected energy: -56.67 eV/cell
- Space-group type: No. 99
- Magnetization: 0.9000 μB/atom